KV2CO | PBE+U | optimized geometry

Properties
The value obtained for the magnetic moment is 1.016 μB/atom. The electronic total energy is -0.122 Ha/atom.

Unit cell a=5.362 b=5.362 c=4.252 alpha=90.00 beta=90.00 gamma=90.00
Space group P4/mmm (No. 123)
Asymmetric unit:
K1 0.000 0.000 0.000 [1 per cell]
V1 0.000 0.500 0.000 [2 per cell]
C1 0.500 0.500 0.500 [1 per cell]
O1 0.000 0.000 0.500 [1 per cell]